DFT (PBE) results for a geometry-optimized Fe2ReBC structure.

```
data_Fe2ReBC
_chemical_formula_sum 'Fe2 Re1 B1 C1'
_cell_length_a 4.692
_cell_length_b 3.863
_cell_length_c 4.692
_cell_angle_alpha 90.00
_cell_angle_beta 90.00
_cell_angle_gamma 90.00
_symmetry_space_group_name_H-M 'P 1'
_symmetry_Int_Tables_number 1
loop_
_symmetry_equiv_pos_as_xyz
'x,y,z'
loop_
_atom_site_label
_atom_site_fract_x
_atom_site_fract_y
_atom_site_fract_z
Re1 0.000 0.000 0.000
C1 0.000 0.500 0.000
B1 0.500 0.500 0.500
Fe1 0.000 0.000 0.500
Fe2 0.500 0.000 0.000
```

Properties
SG   P4/mmm, No. 123
Volume   85.0 Å³ per cell
Calculated formation energy   2.239 eV/atom
Total moment   5.56 μB/cell